1.
VASP calculation (PBE) on an optimized crystal structure of Na12SnHg2.

Geometry as POSCAR:
```
Na12SnHg2
1.0
6.761 0.000 0.000
0.000 6.761 0.000
0.000 0.000 24.737
Na Sn Hg
24 2 4
direct
0.000 0.000 0.083
0.000 0.000 0.917
0.000 0.500 0.083
0.000 0.500 0.917
0.071 0.571 0.435
0.071 0.929 0.565
0.250 0.250 0.193
0.250 0.250 0.327
0.250 0.250 0.673
0.250 0.250 0.807
0.429 0.571 0.565
0.429 0.929 0.435
0.500 0.000 0.083
0.500 0.000 0.917
0.500 0.500 0.083
0.500 0.500 0.917
0.571 0.071 0.565
0.571 0.429 0.435
0.750 0.750 0.193
0.750 0.750 0.327
0.750 0.750 0.673
0.750 0.750 0.807
0.929 0.071 0.435
0.929 0.429 0.565
0.250 0.750 0.000
0.750 0.250 0.000
0.250 0.750 0.180
0.250 0.750 0.820
0.750 0.250 0.180
0.750 0.250 0.820
```


2.
VASP calculation (PBE) on an optimized crystal structure of PmZnGaPd.

Geometry as POSCAR:
```
PmZnGaPd
1.0
0.000 3.356 3.356
3.356 0.000 3.356
3.356 3.356 0.000
Pm Zn Ga Pd
1 1 1 1
direct
0.000 0.000 0.000
0.750 0.750 0.750
0.250 0.250 0.250
0.500 0.500 0.500
```


3.
VASP calculation (PBE) on an optimized crystal structure of CeLuCu2.

Values from the calculation:
excess energy over the best structure of this formula in the dataset: 20.5 meV/atom

Geometry as POSCAR:
```
CeLuCu2
1.0
4.953 0.000 0.000
0.000 4.953 0.000
0.000 0.000 3.374
Ce Lu Cu
1 1 2
direct
0.000 0.000 0.000
0.500 0.500 0.000
0.000 0.500 0.500
0.500 0.000 0.500
```


Size of the total moment? In order: 0.00, 0.00, 0.16 μB/atom.
DFT formation energy? In order: 0.028, -0.562, -0.147 eV/atom.